The following is a DFT calculation (PBE-GGA) of a geometry-optimized NdZnCuSn structure.

a b c (Å): 4.8953 4.8953 4.8953
angles (deg): 60.00 60.00 60.00
Positions (direct):
Zn 0.0000 0.0000 0.0000
Nd 0.7500 0.7500 0.7500
Sn 0.2500 0.2500 0.2500
Cu 0.5000 0.5000 0.5000

- ΔE_f: -304 meV/atom
- SG: F-43m
- Energy: -15.358 eV for the cell shown
- Total magnetization: 0.0 μB per formula unit


The following is a DFT calculation (PBE-GGA) of a geometry-optimized Sr2NdCu structure.

a b c (Å): 3.9302 3.9302 11.7522
angles (deg): 80.37 80.37 60.00
Positions (direct):
Sr 0.1086 0.1086 0.6742
Sr 0.8914 0.8914 0.3258
Nd 0.0000 0.0000 0.0000
Cu 0.5000 0.5000 0.5000

- ΔE_f: 309 meV/atom
- SG: R-3m
- Energy: -10.990 eV for the cell shown
- Total magnetization: 0.0 μB per formula unit


The following is a DFT calculation (PBE-GGA) of a geometry-optimized SrNdCu structure.

a b c (Å): 3.7223 3.7223 7.2602
angles (deg): 104.85 104.85 90.00
Positions (direct):
Sr 0.0274 0.0274 0.0548
Nd 0.2909 0.2909 0.5817
Cu 0.6818 0.6818 0.3635

- ΔE_f: -1 meV/atom
- SG: I4mm
- Energy: -10.549 eV for the cell shown
- Total magnetization: 0.0 μB per formula unit


The following is a DFT calculation (PBE-GGA) of a geometry-optimized SrNd2Cu structure.

a b c (Å): 3.8896 3.8896 11.3280
angles (deg): 80.11 80.11 60.00
Positions (direct):
Sr 0.0000 0.0000 0.0000
Nd 0.1121 0.1121 0.6637
Nd 0.8879 0.8879 0.3363
Cu 0.5000 0.5000 0.5000

- ΔE_f: 210 meV/atom
- SG: R-3m
- Energy: -14.475 eV for the cell shown
- Total magnetization: 0.0 μB per formula unit
- Distance to the lowest polymorph of the same formula: 0.175 eV/atom


The following is a DFT calculation (PBE-GGA) of a geometry-optimized SrNd2Cu structure.

a b c (Å): 3.7243 3.7243 9.6142
angles (deg): 90.00 90.00 90.00
Positions (direct):
Sr 0.5000 0.5000 0.5000
Nd 0.0000 0.0000 0.8320
Nd 0.0000 0.0000 0.1680
Cu 0.5000 0.5000 0.0000

- ΔE_f: 34 meV/atom
- SG: P4/mmm
- Energy: -15.176 eV for the cell shown
- Total magnetization: 0.0 μB per formula unit
- Distance to the lowest polymorph of the same formula: 0.000 eV/atom


The following is a DFT calculation (PBE-GGA) of a geometry-optimized SrNd2Cu structure.

a b c (Å): 3.9480 3.9480 10.6979
angles (deg): 79.37 79.37 60.00
Positions (direct):
Sr 0.5001 0.5001 0.4998
Nd 0.0584 0.0584 0.8248
Nd 0.2751 0.2751 0.1748
Cu 0.6665 0.6665 0.0006

- ΔE_f: 120 meV/atom
- SG: R3m
- Energy: -14.832 eV for the cell shown
- Total magnetization: 0.0 μB per formula unit
- Distance to the lowest polymorph of the same formula: 0.086 eV/atom


The following is a DFT calculation (PBE-GGA) of a geometry-optimized SrNd3Cu structure.

a b c (Å): 5.6882 5.6882 5.6882
angles (deg): 90.00 90.00 90.00
Positions (direct):
Sr 0.5000 0.5000 0.5000
Nd 0.0000 0.5000 0.0000
Nd 0.0000 0.0000 0.5000
Nd 0.5000 0.0000 0.0000
Cu 0.0000 0.0000 0.0000

- ΔE_f: 136 meV/atom
- SG: Pm-3m
- Energy: -19.401 eV for the cell shown
- Total magnetization: 0.0 μB per formula unit


The following is a DFT calculation (PBE-GGA) of a geometry-optimized SrNdTlCu structure.

a b c (Å): 5.4493 5.4493 5.4493
angles (deg): 60.00 60.00 60.00
Positions (direct):
Sr 0.0000 0.0000 0.0000
Tl 0.7500 0.7500 0.7500
Nd 0.5000 0.5000 0.5000
Cu 0.2500 0.2500 0.2500

- ΔE_f: -160 meV/atom
- SG: F-43m
- Energy: -13.551 eV for the cell shown
- Total magnetization: 0.0 μB per formula unit